Entry 1:
# Rb2ZrAlSe4

Rb2ZrAlSe4 after structural relaxation (PBE, Alexandria via LeMat-Bulk).

The structure belongs to space group Fddd (No. 70, origin choice 2); the cell edges are 6.600, 14.344 and 24.982 Å and the angles 90.00°, 90.00° and 90.00°. The asymmetric unit holds Rb at (0.125, 0.125, 0.304), Zr at (0.125, 0.125, 0.125), Al at (0.125, 0.125, 0.625) and Se at (0.110, 0.279, 0.823).

The value obtained for the energy is -296.09 eV per cell. The calculation puts the density of states at the Fermi level at 0.342 states/eV per atom.


Entry 2:
# CaHgPb2

CaHgPb2 after structural relaxation (PBE, Alexandria via LeMat-Bulk).

The structure belongs to space group I-4m2 (No. 119); the cell edges are 4.784, 4.784 and 9.983 Å and the angles 90.00°, 90.00° and 90.00°. The asymmetric unit holds Ca at (0.000, 0.000, 0.000), Hg at (0.000, 0.500, 0.750), Pb at (0.000, 0.000, 0.500) and Pb at (0.000, 0.500, 0.250).

The calculation puts the formation energy at -0.3010 eV per atom. The value obtained for the energy is -21.85 eV per cell. The calculation puts the density of states at the Fermi level at 0.403 states/eV per atom.


Entry 3:
# SmTm5Hg4

SmTm5Hg4 after structural relaxation (PBE, Alexandria via LeMat-Bulk).

The structure belongs to space group P4/mmm (No. 123); the cell edges are 3.636, 3.636 and 19.971 Å and the angles 90.00°, 90.00° and 90.00°. The asymmetric unit holds Sm at (0.000, 0.000, 0.000), Tm at (0.500, 0.500, 0.125), Tm at (0.500, 0.500, 0.314), Tm at (0.500, 0.500, 0.500), Hg at (0.000, 0.000, 0.217) and Hg at (0.000, 0.000, 0.405).

The calculation puts the formation energy at -0.3750 eV per atom. The value obtained for the energy is -32.03 eV per cell. The calculation puts the density of states at the Fermi level at 0.969 states/eV per atom.


Entry 4:
# LaZn2Mo

LaZn2Mo after structural relaxation (PBE, Alexandria via LeMat-Bulk).

The structure belongs to space group I-42d (No. 122); the cell edges are 4.421, 4.421 and 18.932 Å and the angles 90.00°, 90.00° and 90.00°. The asymmetric unit holds La at (0.000, 0.000, 0.000), Zn at (0.101, 0.250, 0.625) and Mo at (0.000, 0.000, 0.500).

The calculation puts the formation energy at 0.4457 eV per atom. The offset from the most stable computed form comes out at 344.1 meV per atom. The value obtained for the energy is -66.09 eV per cell. The calculation puts the density of states at the Fermi level at 0.972 states/eV per atom.


Entry 5:
# BaEuIn2

BaEuIn2 after structural relaxation (PBE, Alexandria via LeMat-Bulk).

The structure belongs to space group P4/mmm (No. 123); the cell edges are 4.112, 4.112 and 8.238 Å and the angles 90.00°, 90.00° and 90.00°. The asymmetric unit holds Ba at (0.000, 0.000, 0.000), Eu at (0.000, 0.000, 0.500) and In at (0.500, 0.500, 0.286).

The calculation puts the formation energy at -0.4378 eV per atom. The value obtained for the energy is -19.43 eV per cell. The calculation puts the density of states at the Fermi level at 2.399 states/eV per atom.


Entry 6:
# Sm6Ho5Pu

Sm6Ho5Pu after structural relaxation (PBE, Alexandria via LeMat-Bulk).

The structure belongs to space group Immm (No. 71); the cell edges are 5.043, 10.072 and 15.144 Å and the angles 90.00°, 90.00° and 90.00°. The asymmetric unit holds Sm at (0.000, 0.248, 0.000), Sm at (0.000, 0.252, 0.335), Ho at (0.000, 0.000, 0.165), Ho at (0.000, 0.000, 0.500), Ho at (0.000, 0.500, 0.166) and Pu at (0.000, 0.500, 0.500).

The calculation puts the formation energy at 0.0476 eV per atom. The value obtained for the energy is -129.93 eV per cell. The calculation puts the density of states at the Fermi level at 1.938 states/eV per atom.


Entry 7:
# GeAs

GeAs after structural relaxation (PBE, Alexandria via LeMat-Bulk).

The structure belongs to space group Imm2 (No. 44); the cell edges are 3.863, 5.010 and 4.754 Å and the angles 90.00°, 90.00° and 90.00°. The asymmetric unit holds Ge at (0.000, 0.000, 0.000) and As at (0.000, 0.500, 0.157).

The calculation puts the formation energy at 0.0575 eV per atom. The value obtained for the energy is -18.30 eV per cell. The calculation puts the density of states at the Fermi level at 0.320 states/eV per atom.


Entry 8:
# La7PmSm2

La7PmSm2 after structural relaxation (PBE, Alexandria via LeMat-Bulk).

The structure belongs to space group Cmmm (No. 65); the cell edges are 9.063, 16.268 and 5.688 Å and the angles 90.00°, 90.00° and 90.00°. The asymmetric unit holds La at (0.000, 0.000, 0.000), La at (0.000, 0.259, 0.500), La at (0.186, 0.385, 0.000), Pm at (0.000, 0.500, 0.500) and Sm at (0.000, 0.201, 0.000).

The calculation puts the formation energy at 0.5660 eV per atom. The offset from the most stable computed form comes out at 251.2 meV per atom. The value obtained for the energy is -86.04 eV per cell. The calculation puts the density of states at the Fermi level at 1.795 states/eV per atom.


Entry 9:
# PuPaBi2N

PuPaBi2N after structural relaxation (PBE, Alexandria via LeMat-Bulk).

The structure belongs to space group P4/nmm (No. 129, origin choice 2); the cell edges are 3.985, 3.985 and 17.748 Å and the angles 90.00°, 90.00° and 90.00°. The asymmetric unit holds Pu at (0.250, 0.250, 0.146), Pa at (0.250, 0.250, 0.564), Bi at (0.250, 0.250, 0.326), Bi at (0.250, 0.250, 0.942) and N at (0.250, 0.750, 0.500).

The value obtained for the energy is -86.42 eV per cell. The calculation puts the density of states at the Fermi level at 2.560 states/eV per atom.


Entry 10:
# Pu2P2N5

Pu2P2N5 after structural relaxation (PBE, Alexandria via LeMat-Bulk).

The structure belongs to space group C2/m (No. 12); the cell edges are 10.034, 3.621 and 5.910 Å and the angles 90.00°, 98.20° and 90.00°. The asymmetric unit holds Pu at (0.108, 0.000, 0.353), P at (0.151, 0.500, 0.904), N at (0.000, 0.500, 0.000), N at (0.146, 0.500, 0.622) and N at (0.183, 0.000, 0.965).

The value obtained for the energy is -170.09 eV per cell. The calculation puts the density of states at the Fermi level at 1.194 states/eV per atom.


Entry 11:
# Ba2CuGe

Ba2CuGe after structural relaxation (PBE, Alexandria via LeMat-Bulk).

The structure belongs to space group C2/c (No. 15); the cell edges are 17.066, 4.548 and 9.419 Å and the angles 90.00°, 107.66° and 90.00°. The asymmetric unit holds Ba at (0.123, 0.220, 0.068), Cu at (0.000, 0.001, 0.250) and Ge at (0.000, 0.499, 0.750).

The calculation puts the formation energy at -0.1597 eV per atom. The value obtained for the energy is -52.79 eV per cell. The calculation puts the density of states at the Fermi level at 0.559 states/eV per atom.


Entry 12:
# LaSm2Dy5

LaSm2Dy5 after structural relaxation (PBE, Alexandria via LeMat-Bulk).

The structure belongs to space group Pbam (No. 55); the cell edges are 7.184, 14.379 and 5.076 Å and the angles 90.00°, 90.00° and 90.00°. The asymmetric unit holds La at (0.000, 0.000, 0.000), Sm at (0.248, 0.374, 0.500), Dy at (0.000, 0.500, 0.000), Dy at (0.002, 0.748, 0.000) and Dy at (0.249, 0.126, 0.500).

The calculation puts the formation energy at 0.0216 eV per atom. The offset from the most stable computed form comes out at 0.0 meV per atom. The value obtained for the energy is -74.41 eV per cell. The calculation puts the density of states at the Fermi level at 1.409 states/eV per atom.